# 1
## TaSiC2 (PBE)

Data for a relaxed TaSiC2 crystal.

M_tot ... 0.000 μB/atom
Calculated total energy ... -139.8 eV/cell

Cell: 4.761 4.761 8.687 Å, 90.00 90.00 90.00°
Space group I-42d (No. 122)
One atom of each set of equivalent atoms:
Ta1 0.000 0.000 0.000 x4
Si1 0.000 0.000 0.500 x4
C1 0.214 0.250 0.625 x8

=====

# 2
## CsPuAu2 (PBE)

Data for a relaxed CsPuAu2 crystal.

Excess energy over the best structure of this formula in the dataset ... 11.3 kJ/mol of atoms
Calculated formation energy ... -0.17 eV per atom
M_tot ... 1.482 μB/atom
Calculated total energy ... -67.3 eV/cell

Cell: 4.4045 4.4045 25.3842 Å, 90.00 90.00 120.00°
Space group R-3m (No. 166, hexagonal axes)
One atom of each set of equivalent atoms:
Cs1 0.0000 0.0000 0.0000 x3
Pu1 0.0000 0.0000 0.5000 x3
Au1 0.0000 0.0000 0.2294 x6

=====

# 3
## PrUMoC3 (PBE)

Data for a relaxed PrUMoC3 crystal.

Calculated formation energy ... -0.01 eV per atom
M_tot ... 0.000 μB/atom
Calculated total energy ... -218.4 eV/cell

Cell: 13.586 3.971 7.067 Å, 90.00 104.92 90.00°
Space group C2/m (No. 12)
One atom of each set of equivalent atoms:
Pr1 0.143 0.000 0.074 x4
U1 0.153 0.000 0.572 x4
Mo1 0.006 0.500 0.714 x4
C1 0.010 0.000 0.286 x4
C2 0.159 0.500 0.797 x4
C3 0.175 0.500 0.375 x4

=====

Repeat the second record exactly.
## CsPuAu2 (PBE)

Data for a relaxed CsPuAu2 crystal.

Excess energy over the best structure of this formula in the dataset ... 11.3 kJ/mol of atoms
Calculated formation energy ... -0.17 eV per atom
M_tot ... 1.482 μB/atom
Calculated total energy ... -67.3 eV/cell

Cell: 4.4045 4.4045 25.3842 Å, 90.00 90.00 120.00°
Space group R-3m (No. 166, hexagonal axes)
One atom of each set of equivalent atoms:
Cs1 0.0000 0.0000 0.0000 x3
Pu1 0.0000 0.0000 0.5000 x3
Au1 0.0000 0.0000 0.2294 x6